A geometry-optimized Sm2YRu structure, computed with PBE.

## Properties
As for the polymorph energy (0 for the lowest one): 20 meV per atom. The final energy is -6.528 eV/atom. As for the size of the total moment: 0.00 Bohr magnetons per cell.

abc: 4.0164 11.9960 9.2321
angles: 90.00 90.00 90.00
Space group Cmcm (No. 63)
Unique sites:
Sm 0.0000 0.1420 0.0675 [8 per cell]
Y 0.0000 0.4223 0.2500 [4 per cell]
Ru 0.0000 0.2425 0.7500 [4 per cell]

---

A geometry-optimized AcNd2Ge structure, computed with PBE.

## Properties
As for the polymorph energy (0 for the lowest one): 110 meV per atom. The final energy is -4.864 eV/atom. As for the size of the total moment: 0.00 Bohr magnetons per cell.

abc: 4.1863 4.1863 28.5146
angles: 90.00 90.00 120.00
Space group R3m (No. 160, hexagonal axes)
Unique sites:
Ac 0.0000 0.0000 0.0000 [3 per cell]
Nd 0.0000 0.0000 0.2273 [3 per cell]
Nd 0.0000 0.0000 0.4430 [3 per cell]
Ge 0.0000 0.0000 0.8357 [3 per cell]

---

A geometry-optimized YHoIn structure, computed with PBE.

## Properties
As for the polymorph energy (0 for the lowest one): 0 meV per atom. The final energy is -4.920 eV/atom. As for the size of the total moment: 0.00 Bohr magnetons per cell.

abc: 3.5412 3.5412 13.7082
angles: 90.00 90.00 90.00
Space group I4mm (No. 107)
Unique sites:
Y 0.0000 0.0000 0.0000 [2 per cell]
Ho 0.0000 0.0000 0.6893 [2 per cell]
In 0.0000 0.0000 0.3438 [2 per cell]

---

A geometry-optimized Gd3Hf12Sc5 structure, computed with PBE.

## Properties
The final energy is -8.311 eV/atom. As for the size of the total moment: 153.24 Bohr magnetons per cell.

abc: 17.4108 17.4108 17.4108
angles: 90.00 90.00 90.00
Space group Ia-3d (No. 230)
Unique sites:
Gd 0.0000 0.2500 0.1250 [24 per cell]
Hf 0.0040 0.0790 0.1453 [96 per cell]
Sc 0.0000 0.0000 0.0000 [16 per cell]
Sc 0.0000 0.2500 0.3750 [24 per cell]

---

Please write out number 3 again, unchanged.
A geometry-optimized YHoIn structure, computed with PBE.

## Properties
As for the polymorph energy (0 for the lowest one): 0 meV per atom. The final energy is -4.920 eV/atom. As for the size of the total moment: 0.00 Bohr magnetons per cell.

abc: 3.5412 3.5412 13.7082
angles: 90.00 90.00 90.00
Space group I4mm (No. 107)
Unique sites:
Y 0.0000 0.0000 0.0000 [2 per cell]
Ho 0.0000 0.0000 0.6893 [2 per cell]
In 0.0000 0.0000 0.3438 [2 per cell]

---

Repeat the third record exactly.
A geometry-optimized YHoIn structure, computed with PBE.

## Properties
As for the polymorph energy (0 for the lowest one): 0 meV per atom. The final energy is -4.920 eV/atom. As for the size of the total moment: 0.00 Bohr magnetons per cell.

abc: 3.5412 3.5412 13.7082
angles: 90.00 90.00 90.00
Space group I4mm (No. 107)
Unique sites:
Y 0.0000 0.0000 0.0000 [2 per cell]
Ho 0.0000 0.0000 0.6893 [2 per cell]
In 0.0000 0.0000 0.3438 [2 per cell]

---

Number 3 is which compound? YHoIn